# 1
RbCuPdW: optimized geometry, PBE. Values from VASP.

Cell and atoms, written as Quantum ESPRESSO input:
```
&SYSTEM
  ibrav = 0, nat = 4, ntyp = 4
/
ATOMIC_SPECIES
Rb 85.47 Rb.upf
Cu 63.55 Cu.upf
Pd 106.42 Pd.upf
W 183.84 W.upf
ATOMIC_POSITIONS angstrom
Rb 0.000 0.000 0.000
Cu 5.151 5.151 5.151
Pd 1.717 1.717 1.717
W 3.434 3.434 3.434
CELL_PARAMETERS angstrom
0.000 3.434 3.434
3.434 0.000 3.434
3.434 3.434 0.000
```

# 2
Y4CoGeC2: optimized geometry, PBE. Values from VASP.

Cell and atoms, written as Quantum ESPRESSO input:
```
&SYSTEM
  ibrav = 0, nat = 8, ntyp = 4
/
ATOMIC_SPECIES
Y 88.91 Y.upf
Co 58.93 Co.upf
Ge 72.64 Ge.upf
C 12.01 C.upf
ATOMIC_POSITIONS angstrom
Y 0.000 0.000 2.058
Y 0.000 0.000 12.325
Y 0.000 2.070 4.793
Y 0.000 2.070 9.590
Co 0.000 2.070 0.000
Ge 0.000 0.000 7.191
C 1.792 1.035 3.448
C 1.792 1.035 10.935
CELL_PARAMETERS angstrom
3.585 0.000 0.000
-1.792 3.104 0.000
0.000 0.000 14.383
```

# 3
LiTaCdPd: optimized geometry, PBE. Values from VASP.

Cell and atoms, written as Quantum ESPRESSO input:
```
&SYSTEM
  ibrav = 0, nat = 4, ntyp = 4
/
ATOMIC_SPECIES
Li 6.94 Li.upf
Ta 180.95 Ta.upf
Cd 112.41 Cd.upf
Pd 106.42 Pd.upf
ATOMIC_POSITIONS angstrom
Li 0.000 0.000 0.000
Ta 4.763 4.763 4.763
Cd 1.588 1.588 1.588
Pd 3.176 3.176 3.176
CELL_PARAMETERS angstrom
0.000 3.176 3.176
3.176 0.000 3.176
3.176 3.176 0.000
```

# 4
TmHBrCl: optimized geometry, PBE. Values from VASP.

Cell and atoms, written as Quantum ESPRESSO input:
```
&SYSTEM
  ibrav = 0, nat = 8, ntyp = 4
/
ATOMIC_SPECIES
Tm 168.93 Tm.upf
H 1.01 H.upf
Br 79.90 Br.upf
Cl 35.45 Cl.upf
ATOMIC_POSITIONS angstrom
Tm 0.000 0.000 0.000
Tm 0.000 0.000 7.102
H 0.000 2.148 0.000
H 1.861 1.074 7.102
Br 1.861 1.074 1.912
Br 1.861 1.074 12.291
Cl 0.000 2.148 5.375
Cl 0.000 2.148 8.828
CELL_PARAMETERS angstrom
3.721 0.000 0.000
-1.861 3.223 0.000
0.000 0.000 14.203
```

# 5
PmScPO: optimized geometry, PBE. Values from VASP.

Cell and atoms, written as Quantum ESPRESSO input:
```
&SYSTEM
  ibrav = 0, nat = 8, ntyp = 4
/
ATOMIC_SPECIES
Pm 145.00 Pm.upf
Sc 44.96 Sc.upf
P 30.97 P.upf
O 16.00 O.upf
ATOMIC_POSITIONS angstrom
Pm 1.100 3.299 0.000
Pm 3.299 1.100 0.000
Sc 1.100 1.100 4.249
Sc 3.299 3.299 4.931
P 1.100 1.100 1.736
P 3.299 3.299 7.444
O 1.100 3.299 4.590
O 3.299 1.100 4.590
CELL_PARAMETERS angstrom
4.399 0.000 0.000
0.000 4.399 0.000
0.000 0.000 9.180
```

# 6
ZnCd: optimized geometry, PBE. Values from VASP.

Cell and atoms, written as Quantum ESPRESSO input:
```
&SYSTEM
  ibrav = 0, nat = 24, ntyp = 2
/
ATOMIC_SPECIES
Zn 65.41 Zn.upf
Cd 112.41 Cd.upf
ATOMIC_POSITIONS angstrom
Zn 0.628 2.164 1.242
Zn 0.628 5.320 3.727
Zn 0.749 10.491 3.727
Zn 0.749 11.960 1.242
Zn 2.116 9.628 1.242
Zn 2.116 12.823 3.727
Zn 3.859 2.144 1.242
Zn 3.859 5.340 3.727
Zn 5.226 3.007 3.727
Zn 5.226 4.476 1.242
Zn 5.347 9.648 1.242
Zn 5.347 12.803 3.727
Cd 0.722 0.481 3.727
Cd 0.722 7.003 1.242
Cd 2.222 7.906 3.727
Cd 2.222 14.545 1.242
Cd 2.256 2.961 3.727
Cd 2.256 4.523 1.242
Cd 3.719 10.445 3.727
Cd 3.719 12.006 1.242
Cd 3.752 0.422 3.727
Cd 3.752 7.061 1.242
Cd 5.253 7.964 3.727
Cd 5.253 14.487 1.242
CELL_PARAMETERS angstrom
5.975 0.000 0.000
0.000 14.967 0.000
0.000 0.000 4.969
```

DFT formation energy = 0.071 eV/atom

# 7
DyLu6Cu2Te2: optimized geometry, PBE. Values from VASP.

Cell and atoms, written as Quantum ESPRESSO input:
```
&SYSTEM
  ibrav = 0, nat = 11, ntyp = 4
/
ATOMIC_SPECIES
Dy 162.50 Dy.upf
Lu 174.97 Lu.upf
Cu 63.55 Cu.upf
Te 127.60 Te.upf
ATOMIC_POSITIONS angstrom
Dy 0.000 0.000 0.000
Lu 1.952 2.812 -1.150
Lu 1.952 -2.202 2.225
Lu 1.952 2.202 2.225
Lu 1.952 5.577 0.792
Lu 0.000 4.773 3.568
Lu 0.000 2.008 5.510
Cu 0.000 3.583 0.681
Cu 0.000 11.587 0.681
Te 0.000 0.000 3.207
Te 0.000 7.585 2.196
CELL_PARAMETERS angstrom
-1.952 7.585 4.718
1.952 -7.585 4.718
1.952 7.585 -4.718
```

# 8
K2Hf2O5: optimized geometry, PBE. Values from VASP.

Cell and atoms, written as Quantum ESPRESSO input:
```
&SYSTEM
  ibrav = 0, nat = 36, ntyp = 3
/
ATOMIC_SPECIES
K 39.10 K.upf
Hf 178.49 Hf.upf
O 16.00 O.upf
ATOMIC_POSITIONS angstrom
K 0.389 1.782 0.645
K 0.389 3.557 3.668
K 2.506 7.121 3.668
K 2.506 8.896 0.645
K 3.285 1.782 7.981
K 3.285 3.557 4.958
K 5.401 7.121 4.958
K 5.401 8.896 7.981
Hf 0.191 0.814 5.699
Hf 0.191 4.525 7.240
Hf 2.704 6.153 7.240
Hf 2.704 9.863 5.699
Hf 3.087 0.814 2.927
Hf 3.087 4.525 1.386
Hf 5.599 6.153 1.386
Hf 5.599 9.863 2.927
O 0.047 8.008 2.157
O 0.740 6.484 8.182
O 0.740 9.533 4.757
O 1.448 0.000 2.102
O 1.448 0.000 7.139
O 1.448 5.339 2.211
O 1.448 5.339 5.800
O 2.155 1.145 4.757
O 2.155 4.194 8.182
O 2.848 2.669 2.157
O 2.943 8.008 6.470
O 3.635 6.484 0.444
O 3.635 9.533 3.869
O 4.343 0.000 1.487
O 4.343 0.000 6.524
O 4.343 5.339 2.826
O 4.343 5.339 6.415
O 5.051 1.145 3.869
O 5.051 4.194 0.444
O 5.744 2.669 6.470
CELL_PARAMETERS angstrom
5.791 0.000 0.000
0.000 10.678 0.000
0.000 0.000 8.626
```

# 9
TaCoBiAu: optimized geometry, PBE. Values from VASP.

Cell and atoms, written as Quantum ESPRESSO input:
```
&SYSTEM
  ibrav = 0, nat = 4, ntyp = 4
/
ATOMIC_SPECIES
Ta 180.95 Ta.upf
Co 58.93 Co.upf
Bi 208.98 Bi.upf
Au 196.97 Au.upf
ATOMIC_POSITIONS angstrom
Ta 0.000 0.000 0.000
Co 5.005 5.005 5.005
Bi 3.337 3.337 3.337
Au 1.668 1.668 1.668
CELL_PARAMETERS angstrom
0.000 3.337 3.337
3.337 0.000 3.337
3.337 3.337 0.000
```

# 10
UCl: optimized geometry, PBE. Values from VASP.

Cell and atoms, written as Quantum ESPRESSO input:
```
&SYSTEM
  ibrav = 0, nat = 2, ntyp = 2
/
ATOMIC_SPECIES
U 238.03 U.upf
Cl 35.45 Cl.upf
ATOMIC_POSITIONS angstrom
U 0.000 0.000 0.000
Cl 1.529 1.529 1.529
CELL_PARAMETERS angstrom
0.000 3.059 3.059
3.059 0.000 3.059
3.059 3.059 0.000
```

# 11
Cu2Ag3: optimized geometry, PBE. Values from VASP.

Cell and atoms, written as Quantum ESPRESSO input:
```
&SYSTEM
  ibrav = 0, nat = 10, ntyp = 2
/
ATOMIC_SPECIES
Cu 63.55 Cu.upf
Ag 107.87 Ag.upf
ATOMIC_POSITIONS angstrom
Cu 0.000 0.000 0.000
Cu -0.911 0.000 3.551
Cu 1.626 0.000 4.228
Cu 8.145 0.000 2.213
Ag 2.582 0.000 0.708
Ag 5.552 0.000 1.418
Ag 4.595 0.000 5.135
Ag 7.249 0.000 5.748
Ag 10.909 0.000 2.952
Ag 9.963 0.000 6.503
CELL_PARAMETERS angstrom
7.374 -1.424 0.000
7.374 1.424 0.000
-1.973 0.000 7.414
```

DFT formation energy = 0.086 eV/atom

# 12
ErB4As: optimized geometry, PBE. Values from VASP.

Cell and atoms, written as Quantum ESPRESSO input:
```
&SYSTEM
  ibrav = 0, nat = 6, ntyp = 3
/
ATOMIC_SPECIES
Er 167.26 Er.upf
B 10.81 B.upf
As 74.92 As.upf
ATOMIC_POSITIONS angstrom
Er 0.000 0.000 0.000
B 1.580 -0.922 1.935
B 1.580 0.922 1.935
B 0.000 1.557 2.315
B 0.000 3.401 2.315
As 0.000 0.000 4.250
CELL_PARAMETERS angstrom
-1.580 2.479 4.250
1.580 -2.479 4.250
1.580 2.479 -4.250
```

The calculation returns the following raw total energy values, one per record and in order: -4.224, -7.214, -5.017, -4.464, -6.994, -1.009, -4.700, -8.111, -6.049, -6.527, -3.095, -6.050 eV/atom.